Entry 1:
MnInBiO6 | the Alexandria database | PBE with a Hubbard U | optimized geometry; space-group type = P-31c; energy = -6.019 eV per atom
1.0
5.2864 0.0000 0.0000
-2.6432 4.5782 0.0000
0.0000 0.0000 9.2619
Mn In Bi O
2 2 2 12
direct
0.6667 0.3333 0.2500
0.3333 0.6667 0.7500
0.0000 0.0000 0.0000
0.0000 0.0000 0.5000
0.3333 0.6667 0.2500
0.6667 0.3333 0.7500
0.6618 0.6326 0.1313
0.9708 0.3382 0.1313
0.3382 0.9708 0.6313
0.0292 0.6618 0.8687
0.3674 0.3382 0.3687
0.9708 0.6326 0.3687
0.6326 0.9708 0.8687
0.6618 0.0292 0.3687
0.0292 0.3674 0.6313
0.3674 0.0292 0.1313
0.6326 0.6618 0.6313
0.3382 0.3674 0.8687

Entry 2:
MnInBiO4 | the Alexandria database | PBE with a Hubbard U | optimized geometry; space-group type = Imma; energy = -6.289 eV per atom; N(E_F) = 0.000 states/eV per cell
1.0
6.7763 0.0000 0.0000
-3.3882 5.7076 -0.3919
0.0000 -3.4294 5.6397
Mn In Bi O
2 2 2 8
direct
0.5000 0.5000 0.5000
0.0000 0.5000 0.5000
0.5000 0.0000 0.5000
0.5000 0.0000 0.0000
0.8756 0.7511 0.1256
0.1244 0.2489 0.8744
0.7370 0.4739 0.7142
0.2960 0.0254 0.2627
0.7294 0.0254 0.2627
0.7370 0.4739 0.2598
0.2630 0.5261 0.7402
0.7040 0.9746 0.7373
0.2706 0.9746 0.7373
0.2630 0.5261 0.2858